--- a ---
VASP calculation (PBE) on an optimized crystal structure of KBe2Au.

```
data_KBe2Au
_chemical_formula_sum 'K2 Be4 Au2'
_space_group_name_H-M_alt 'I m m m'
_space_group_IT_number 71
_space_group_name_Hall '-I 2 2'
_cell_length_a 2.818
_cell_length_b 5.778
_cell_length_c 10.192
_cell_angle_alpha 90.00
_cell_angle_beta 90.00
_cell_angle_gamma 90.00
loop_
_atom_site_label
_atom_site_fract_x
_atom_site_fract_y
_atom_site_fract_z
K1 0.000 0.000 0.000
Be1 0.000 0.500 0.187
Au1 0.000 0.000 0.500
```

--- b ---
VASP calculation (PBE) on an optimized crystal structure of KBe2Au.

```
data_KBe2Au
_chemical_formula_sum 'K4 Be8 Au4'
_space_group_name_H-M_alt 'F m -3 m'
_space_group_IT_number 225
_space_group_name_Hall '-F 4 2 3'
_cell_length_a 6.523
_cell_length_b 6.523
_cell_length_c 6.523
_cell_angle_alpha 90.00
_cell_angle_beta 90.00
_cell_angle_gamma 90.00
loop_
_atom_site_label
_atom_site_fract_x
_atom_site_fract_y
_atom_site_fract_z
K1 0.000 0.000 0.000
Be1 0.250 0.250 0.250
Au1 0.000 0.000 0.500
```

How far above the most stable structure does each one sit? In meV per atom: a 0; b 233.

--- a ---
VASP calculation (PBE) on an optimized crystal structure of KBe2Au.

```
data_KBe2Au
_chemical_formula_sum 'K2 Be4 Au2'
_space_group_name_H-M_alt 'C 1 2/m 1'
_space_group_IT_number 12
_space_group_name_Hall '-C 2y'
_cell_length_a 7.053
_cell_length_b 4.071
_cell_length_c 6.408
_cell_angle_alpha 90.00
_cell_angle_beta 111.65
_cell_angle_gamma 90.00
loop_
_atom_site_label
_atom_site_fract_x
_atom_site_fract_y
_atom_site_fract_z
K1 0.000 0.000 0.000
Be1 0.172 0.000 0.517
Au1 0.000 0.500 0.500
```

--- b ---
VASP calculation (PBE) on an optimized crystal structure of KBe2Au.

```
data_KBe2Au
_chemical_formula_sum 'K2 Be4 Au2'
_space_group_name_H-M_alt 'I m m 2'
_space_group_IT_number 44
_space_group_name_Hall 'I 2 -2'
_cell_length_a 2.795
_cell_length_b 5.511
_cell_length_c 9.730
_cell_angle_alpha 90.00
_cell_angle_beta 90.00
_cell_angle_gamma 90.00
loop_
_atom_site_label
_atom_site_fract_x
_atom_site_fract_y
_atom_site_fract_z
K1 0.000 0.000 0.000
Be1 0.000 0.000 0.509
Be2 0.000 0.500 0.182
Au1 0.000 0.500 0.816
```

--- c ---
VASP calculation (PBE) on an optimized crystal structure of KBe2Au.

```
data_KBe2Au
_chemical_formula_sum 'K2 Be4 Au2'
_space_group_name_H-M_alt 'C m m m'
_space_group_IT_number 65
_space_group_name_Hall '-C 2 2'
_cell_length_a 7.050
_cell_length_b 7.076
_cell_length_c 2.763
_cell_angle_alpha 90.00
_cell_angle_beta 90.00
_cell_angle_gamma 90.00
loop_
_atom_site_label
_atom_site_fract_x
_atom_site_fract_y
_atom_site_fract_z
K1 0.000 0.000 0.000
Be1 0.250 0.250 0.500
Au1 0.000 0.500 0.000
```

How far above the most stable structure does each one sit? In meV per atom: a 0; b 589; c 1031.